Computed, not measured: TiB3Cl after structural relaxation at the PBE-GGA level of DFT.

Geometry as POSCAR:
```
TiB3Cl
1.0
3.852 0.000 0.000
0.000 3.852 0.000
0.000 0.000 3.852
Ti B Cl
1 3 1
Direct
0.000 0.000 0.000
0.000 0.500 0.500
0.500 0.000 0.500
0.500 0.500 0.000
0.500 0.500 0.500
```

Values from the calculation:
ΔE to the lowest computed polymorph   18.0 meV per atom
E_form (uncorrected)   1.940 eV per atom
Symmetry   Pm-3m (221)